Density functional theory data (PBE) for a geometry-optimized CeY2Si structure.

Values from the calculation:
Its uncorrected formation energy is -104.3 meV per atom. As for the space-group type: R-3m, No. 166. The density of states at the Fermi level is 2.1805 states/eV per atom.

Geometry as POSCAR:
```
CeY2Si
1.0
1.823 1.052 9.920
-1.823 1.052 9.920
0.000 -2.105 9.920
Ce Y Si
1 2 1
direct
0.000 0.000 0.000
0.232 0.232 0.232
0.768 0.768 0.768
0.500 0.500 0.500
```

Density functional theory data (PBE) for a geometry-optimized Ce2YSi structure.

Values from the calculation:
Its uncorrected formation energy is -306.2 meV per atom. As for the space-group type: P4/mmm, No. 123. The density of states at the Fermi level is 2.3414 states/eV per atom.

Geometry as POSCAR:
```
Ce2YSi
1.0
4.367 0.000 0.000
0.000 4.367 0.000
0.000 0.000 5.012
Ce Y Si
2 1 1
direct
0.000 0.500 0.000
0.500 0.000 0.000
0.000 0.000 0.500
0.500 0.500 0.500
```

Density functional theory data (PBE) for a geometry-optimized Ce2Y3Si4 structure.

Values from the calculation:
Its uncorrected formation energy is -720.7 meV per atom. As for the space-group type: P2_1/c, No. 14. The density of states at the Fermi level is 1.8393 states/eV per atom.

Geometry as POSCAR:
```
Ce2Y3Si4
1.0
7.738 0.000 0.000
0.000 7.769 0.000
-2.156 0.000 7.157
Ce Y Si
4 6 8
direct
0.197 0.177 0.083
0.197 0.323 0.583
0.803 0.677 0.417
0.803 0.823 0.917
0.243 0.681 0.253
0.243 0.819 0.753
0.500 0.000 0.500
0.500 0.500 0.000
0.757 0.181 0.247
0.757 0.319 0.747
0.079 0.527 0.877
0.079 0.973 0.377
0.491 0.118 0.878
0.491 0.382 0.378
0.509 0.618 0.622
0.509 0.882 0.122
0.921 0.027 0.623
0.921 0.473 0.123
```